# PBE Dy2HoHf3N6, optimized geometry
# Crystal system = monoclinic
# Calculated density = 11.9 g/cm³
# Energy relative to the elements, uncorrected = -1.799 eV per atom
# DOS at the Fermi energy = 2.70 states/eV/f.u.
data_Dy2HoHf3N6
_chemical_formula_sum 'Dy4 Ho2 Hf6 N12'
_space_group_name_H-M_alt 'C 1 2/m 1'
_space_group_IT_number 12
_cell_length_a 14.5438
_cell_length_b 3.3034
_cell_length_c 6.6699
_cell_angle_alpha 90.00
_cell_angle_beta 104.17
_cell_angle_gamma 90.00
loop_
_space_group_symop_operation_xyz
'x,y,z'
'-x,-y,-z'
'-x,y,-z'
'x,-y,z'
'x+1/2,y+1/2,z'
'-x+1/2,-y+1/2,-z'
'-x+1/2,y+1/2,-z'
'x+1/2,-y+1/2,z'
loop_
_atom_site_label
_atom_site_type_symbol
_atom_site_fract_x
_atom_site_fract_y
_atom_site_fract_z
Dy1 Dy 0.1666 0.0000 0.3334
Ho1 Ho 0.0000 0.5000 0.0000
Hf1 Hf 0.0000 0.5000 0.5000
Hf2 Hf 0.1666 0.0000 0.8332
N1 N 0.0055 0.0000 0.7377
N2 N 0.1610 0.5000 0.5973
N3 N 0.1717 0.5000 0.0690